# 1
DFT (PBE-GGA) results for a geometry-optimized KSr2Hg2 structure.

Results
As for the total magnetization: 0.0 μB/f.u. The total energy is -6.32 eV/cell. The space group is I4/mmm, No. 139. For the energy of formation from the pure elements, the calculation gives -250 meV/atom. As for the density of states at the Fermi level: 4.49 states/eV/cell. For the energy relative to the lowest polymorph listed for this composition, the calculation gives 0.107 eV/atom.

```
KSr2Hg2
1.0
-2.8127 2.8127 6.6263
2.8127 -2.8127 6.6263
2.8127 2.8127 -6.6263
K Sr Hg
1 2 2
Cartesian
0.0000 0.0000 0.0000
2.8127 0.0000 3.3131
0.0000 2.8127 3.3131
0.0000 0.0000 5.1665
0.0000 0.0000 8.0861
```

***

# 2
DFT (PBE-GGA) results for a geometry-optimized CeDySbTe structure.

Results
As for the total magnetization: 1.2 μB/f.u. The total energy is -22.78 eV/cell. The space group is R3m, No. 160. The formation energy (no corrections) comes out at -1.24 eV per atom. As for the density of states at the Fermi level: 7.77 states/eV/cell.

```
CeDySbTe
1.0
2.2163 1.2796 7.2864
-2.2163 1.2796 7.2864
0.0000 -2.5592 7.2864
Ce Dy Sb Te
1 1 1 1
Cartesian
0.0000 0.0000 0.0000
0.0000 0.0000 10.8190
0.0000 0.0000 16.4110
0.0000 0.0000 5.3390
```

***

# 3
DFT (PBE-GGA) results for a geometry-optimized TbY3Tl2 structure.

Results
As for the total magnetization: 0.9 μB/f.u. The total energy is -60.41 eV/cell. The space group is Ibam, No. 72. For the energy of formation from the pure elements, the calculation gives -241 meV/atom. As for the density of states at the Fermi level: 16.79 states/eV/cell. For the energy relative to the lowest polymorph listed for this composition, the calculation gives 0.058 eV/atom.

```
TbY3Tl2
1.0
-3.2658 8.3829 3.2651
3.2658 -8.3829 3.2651
3.2658 8.3829 -3.2651
Tb Y Tl
2 6 4
Cartesian
0.0000 0.0000 1.6326
0.0000 0.0000 4.8977
4.8954 2.9761 0.0000
3.2658 0.0000 1.6326
1.6296 5.4068 0.0000
1.6362 2.9761 3.2651
0.0000 8.3829 1.6326
-1.6296 5.4068 3.2651
1.6367 2.2913 0.0000
1.6367 -2.2913 3.2651
1.6291 10.6742 0.0000
1.6291 6.0915 3.2651
```

***

# 4
DFT (PBE-GGA) results for a geometry-optimized AsP2Pb structure.

Results
As for the total magnetization: 0.0 μB/f.u. The total energy is -18.23 eV/cell. The space group is R3m, No. 160. For the energy of formation from the pure elements, the calculation gives 236 meV/atom. As for the density of states at the Fermi level: 2.54 states/eV/cell. For the energy relative to the lowest polymorph listed for this composition, the calculation gives 0.036 eV/atom.

```
AsP2Pb
1.0
1.8260 1.0542 7.3637
-1.8260 1.0542 7.3637
0.0000 -2.1085 7.3637
As P Pb
1 2 1
Cartesian
0.0000 0.0000 0.0000
0.0000 0.0000 6.0442
0.0000 0.0000 11.9904
0.0000 0.0000 17.4076
```

***

# 5
DFT (PBE-GGA) results for a geometry-optimized Sm8FeSb2 structure.

Results
As for the total magnetization: 0.0 μB/f.u. The total energy is -58.33 eV/cell. The space group is C2/m, No. 12. The formation energy (no corrections) comes out at -0.35 eV per atom. As for the density of states at the Fermi level: 11.94 states/eV/cell.

```
Sm8FeSb2
1.0
9.5503 -2.3335 0.0000
9.5503 2.3335 0.0000
-1.0631 0.0000 7.3266
Sm Fe Sb
8 1 2
Cartesian
-0.2248 0.0000 2.0740
3.2297 0.0000 6.1865
6.4246 0.0000 3.4390
6.7052 0.0000 7.2193
11.3324 0.0000 0.1073
11.6130 0.0000 3.8876
14.8079 0.0000 1.1401
18.2624 0.0000 5.2526
9.0188 0.0000 3.6633
3.1760 0.0000 1.9803
14.8615 0.0000 5.3463
```

***

# 6
DFT (PBE-GGA) results for a geometry-optimized SrCr2W structure.

Results
As for the total magnetization: 5.3 μB/f.u. The total energy is -31.17 eV/cell. The space group is P4/mmm, No. 123. For the energy of formation from the pure elements, the calculation gives 679 meV/atom. As for the density of states at the Fermi level: 3.34 states/eV/cell. For the energy relative to the lowest polymorph listed for this composition, the calculation gives 0.000 eV/atom.

```
SrCr2W
1.0
3.1983 0.0000 0.0000
0.0000 3.1983 0.0000
0.0000 0.0000 7.8673
Sr Cr W
1 2 1
Cartesian
0.0000 0.0000 0.0000
1.5992 1.5992 2.5585
1.5992 1.5992 5.3088
0.0000 0.0000 3.9337
```

***

# 7
DFT (PBE-GGA) results for a geometry-optimized NaSm2CdSe4 structure.

Results
As for the total magnetization: 0.0 μB/f.u. The total energy is -36.83 eV/cell. The space group is P2/m, No. 10. The formation energy (no corrections) comes out at -1.40 eV per atom. As for the density of states at the Fermi level: 4.39 states/eV/cell.

```
NaSm2CdSe4
1.0
7.2428 0.0000 0.0000
0.0000 4.2018 0.0000
-2.4229 0.0000 7.1865
Na Sm Cd Se
1 2 1 4
Cartesian
0.0000 0.0000 0.0000
-1.2115 2.1009 3.5932
2.4099 0.0000 3.5932
3.6214 2.1009 0.0000
0.0095 0.0000 5.2679
1.2273 2.1009 1.9114
3.5925 2.1009 5.2750
4.8103 0.0000 1.9185
```

***

# 8
DFT (PBE-GGA) results for a geometry-optimized SrAs2Pt structure.

Results
As for the total magnetization: 0.0 μB/f.u. The total energy is -18.25 eV/cell. The space group is Cmmm, No. 65. For the energy of formation from the pure elements, the calculation gives -306 meV/atom. As for the density of states at the Fermi level: 2.34 states/eV/cell.

```
SrAs2Pt
1.0
3.1390 -3.1839 0.0000
3.1390 3.1839 0.0000
0.0000 0.0000 4.1988
Sr As Pt
1 2 1
Cartesian
0.0000 0.0000 0.0000
1.5695 1.5919 2.0994
1.5695 -1.5919 2.0994
3.1390 0.0000 0.0000
```